(1)
{
  "formula": "Ba3GaIr",
  "functional": "PBE",
  "state": "relaxed",
  "crystal_system": "orthorhombic",
  "dft_energy_ev_per_cell": -37.6,
  "dos_ef_per_ev_cell": 8.20,
  "density_g_cm3": 5.548,
  "lattice_angstrom": [[4.389, 0.000, 0.000], [0.000, 11.889, 0.000], [0.000, 0.000, 7.732]],
  "species": ["Ba", "Ba", "Ba", "Ba", "Ba", "Ba", "Ga", "Ga", "Ir", "Ir"],
  "fractional_positions": [[0.250, 0.073, 0.229], [0.250, 0.250, 0.664], [0.250, 0.427, 0.229], [0.750, 0.573, 0.771], [0.750, 0.750, 0.336], [0.750, 0.927, 0.771], [0.250, 0.750, 0.983], [0.750, 0.250, 0.017], [0.250, 0.750, 0.664], [0.750, 0.250, 0.336]]
}

***

(2)
{
  "formula": "BeP2Se",
  "functional": "PBE",
  "state": "relaxed",
  "crystal_system": "tetragonal",
  "e_form_raw_mev_per_atom": 32,
  "dos_ef_per_ev_cell": 2.05,
  "density_g_cm3": 3.903,
  "lattice_angstrom": [[3.401, 0.000, 0.000], [0.000, 3.401, 0.000], [0.000, 0.000, 5.515]],
  "species": ["Be", "P", "P", "Se"],
  "fractional_positions": [[0.000, 0.000, 0.000], [0.000, 0.000, 0.393], [0.500, 0.500, 0.453], [0.500, 0.500, 0.896]]
}